Entry 1:
This record from Alexandria via LeMat-Bulk describes an optimized crystal structure of Ac2ErThSb4. The functional is GGA-PBE.

abc: 7.9518 4.6077 8.0274
angles: 90.00 109.38 90.00
Last column: nearest neighbours and their distance in Å.
Atoms (fractional coordinates):
Ac 0.0000 0.0000 0.0000  6 Sb 3.34
Ac 0.5000 0.5000 0.0000  6 Sb 3.38
Er 0.0000 0.5000 0.5000  6 Sb 3.14-3.15
Th 0.5000 0.0000 0.5000  6 Sb 3.19
Sb 0.2385 0.0000 0.7269  2 Er 3.15, 1 Th 3.19, 3 Ac 3.34-3.38
Sb 0.2524 0.5000 0.2701  1 Er 3.14, 2 Th 3.19, 3 Ac 3.34-3.38
Sb 0.7476 0.5000 0.7299  1 Er 3.14, 2 Th 3.19, 3 Ac 3.34-3.38
Sb 0.7615 0.0000 0.2731  2 Er 3.15, 1 Th 3.19, 3 Ac 3.34-3.38

Properties
Magnetization, μB per cell: 0.0
Raw formation energy, eV per atom: -1.1060
Uncorrected energy, eV/atom: -5.6921

Entry 2:
This record from Alexandria via LeMat-Bulk describes an optimized crystal structure of LiMg2As. The functional is GGA-PBE.

abc: 3.1459 4.9350 5.1742
angles: 90.00 91.14 90.00
Last column: nearest neighbours and their distance in Å.
Atoms (fractional coordinates):
Li 0.0000 0.0000 0.0000  4 Mg 2.93, 4 As 3.00-3.05, 2 Li 3.15
Mg 0.2733 0.5000 0.7481  2 As 2.88, 2 Li 2.93, 6 Mg 2.95-3.15
Mg 0.7267 0.5000 0.2519  2 As 2.88, 2 Li 2.93, 6 Mg 2.95-3.15
As 0.5000 0.0000 0.5000  4 Mg 2.88, 4 Li 3.00-3.05, 2 As 3.15

Properties
Magnetization, μB per cell: 0.0
ΔH_f (0 K), meV/atom: -188
Uncorrected energy, eV/atom: -2.6257

Entry 3:
This record from Alexandria via LeMat-Bulk describes an optimized crystal structure of ZnSb2Ru. The functional is GGA-PBE.

abc: 3.2047 3.2047 7.9108
angles: 90.00 90.00 90.00
Last column: nearest neighbours and their distance in Å.
Atoms (fractional coordinates):
Zn 0.0000 0.0000 0.0000  8 Sb 3.20, 4 Zn 3.20
Sb 0.5000 0.5000 0.2856  4 Ru 2.83
Sb 0.5000 0.5000 0.7144  4 Ru 2.83
Ru 0.0000 0.0000 0.5000  8 Sb 2.83

Properties
Magnetization, μB per cell: 0.0
Raw formation energy, eV per atom: 0.0703
Uncorrected energy, eV/atom: -4.6284

Entry 4:
This record from Alexandria via LeMat-Bulk describes an optimized crystal structure of KHgN. The functional is GGA-PBE.

abc: 3.9308 12.8116 5.9550
angles: 90.00 90.00 90.00
Last column: nearest neighbours and their distance in Å.
Atoms (fractional coordinates):
K 0.0000 0.1498 0.2500  4 N 2.98-3.30, 1 Hg 3.29
K 0.0000 0.8502 0.7500  4 N 2.98-3.30, 1 Hg 3.29
K 0.5000 0.3502 0.7500  4 N 2.98-3.30, 1 Hg 3.29
K 0.5000 0.6498 0.2500  4 N 2.98-3.30, 1 Hg 3.29
Hg 0.0000 0.4064 0.2500  2 N 2.07
Hg 0.0000 0.5936 0.7500  2 N 2.07
Hg 0.5000 0.0936 0.7500  2 N 2.07
Hg 0.5000 0.9064 0.2500  2 N 2.07
N 0.0000 0.1432 0.7500  2 Hg 2.07
N 0.0000 0.8568 0.2500  2 Hg 2.07
N 0.5000 0.3568 0.2500  2 Hg 2.07
N 0.5000 0.6432 0.7500  2 Hg 2.07

Properties
Magnetization, μB per cell: 0.0
Raw formation energy, eV per atom: 0.4660
Uncorrected energy, eV/atom: -2.7755